Computed, not measured: a relaxed Tb2In8Ni crystal at the PBE level of DFT.

abc: 4.6411 4.6411 12.1136
angles: 90.00 90.00 90.00
Closest atoms and distances in Å follow each position.
Fractional coordinates of all 11 atoms:
1 Tb 0.0000 0.0000 0.1906  12 In 3.25-3.28
2 Tb 0.0000 0.0000 0.8094  12 In 3.25-3.28
3 In 0.0000 0.5000 0.0000  4 Tb 3.27, 8 In 3.28
4 In 0.0000 0.5000 0.3785  2 Ni 2.75, 1 In 2.94
5 In 0.0000 0.5000 0.6215  2 Ni 2.75, 1 In 2.94
6 In 0.5000 0.0000 0.0000  4 Tb 3.27, 8 In 3.28
7 In 0.5000 0.0000 0.3785  2 Ni 2.75, 1 In 2.94
8 In 0.5000 0.0000 0.6215  2 Ni 2.75, 1 In 2.94
9 In 0.5000 0.5000 0.1916  8 In 3.24-3.28, 4 Tb 3.28
10 In 0.5000 0.5000 0.8084  8 In 3.24-3.28, 4 Tb 3.28
11 Ni 0.0000 0.0000 0.5000  8 In 2.75

DFT total energy ... -40.5 eV/f.u.
Crystal system ... tetragonal
SG ... P4/mmm